# Th6Mn2Tl

Th6Mn2Tl after structural relaxation (PBE, Alexandria via LeMat-Bulk).

Cell: 8.6471 8.6471 9.4316 Å, 122.94 122.94 67.19°
Element x y z (fractional)
Th  0.0380  0.4495  0.2418
Th  0.1892  0.8094  0.7036
Th  0.1906  0.8108  0.2964
Th  0.3262  0.3262  0.6357
Th  0.3295  0.3295  0.0201
Th  0.4495  0.0380  0.2418
Th  0.5505  0.9620  0.7582
Th  0.6705  0.6705  0.9799
Th  0.6738  0.6738  0.3643
Th  0.8094  0.1892  0.7036
Th  0.8108  0.1906  0.2964
Th  0.9620  0.5505  0.7582
Mn  0.1172  0.1172  0.6173
Mn  0.3550  0.6450  0.0000
Mn  0.6450  0.3550  0.0000
Mn  0.8828  0.8828  0.3827
Tl  0.0000  0.0000  0.0000
Tl  0.5000  0.5000  0.5000

**E_tot**: -7.198 eV/atom
**Space group**: No. 12
**Energy of formation from the pure elements**: 0.05 eV/atom


# Pr3Er2Hg7

Pr3Er2Hg7 after structural relaxation (PBE, Alexandria via LeMat-Bulk).

Cell: 11.8134 11.8134 5.6383 Å, 90.00 90.00 154.56°
Element x y z (fractional)
Pr  0.0000  0.0000  0.0000
Pr  0.1724  0.8276  0.0000
Pr  0.8276  0.1724  0.0000
Er  0.3586  0.6414  0.5000
Er  0.6414  0.3586  0.5000
Hg  0.0762  0.9238  0.5000
Hg  0.2246  0.7754  0.5000
Hg  0.4108  0.5892  0.0000
Hg  0.5000  0.5000  0.5000
Hg  0.5892  0.4108  0.0000
Hg  0.7754  0.2246  0.5000
Hg  0.9238  0.0762  0.5000

**E_tot**: -2.464 eV/atom
**Space group**: No. 65
**Energy of formation from the pure elements**: -0.33 eV/atom


# NdPuPa2P4

NdPuPa2P4 after structural relaxation (PBE, Alexandria via LeMat-Bulk).

Cell: 6.9695 4.0246 6.9718 Å, 90.00 109.51 90.00°
Element x y z (fractional)
Nd  0.0000  0.0000  0.0000
Pu  0.0000  0.5000  0.5000
Pa  0.5000  0.0000  0.5000
Pa  0.5000  0.5000  0.0000
P  0.2579  0.0000  0.7482
P  0.2627  0.5000  0.2583
P  0.7373  0.5000  0.7417
P  0.7421  0.0000  0.2518

**E_tot**: -8.807 eV/atom
**Space group**: No. 10
**Energy of formation from the pure elements**: -1.34 eV/atom


# Ce2CdO

Ce2CdO after structural relaxation (PBE, Alexandria via LeMat-Bulk).

Cell: 3.5598 3.5598 24.4315 Å, 90.00 90.00 120.00°
Element x y z (fractional)
Ce  0.0000  0.0000  0.0000
Ce  0.0000  0.0000  0.2195
Ce  0.3333  0.6667  0.6667
Ce  0.3333  0.6667  0.8862
Ce  0.6667  0.3333  0.3333
Ce  0.6667  0.3333  0.5528
Cd  0.0000  0.0000  0.7768
Cd  0.3333  0.6667  0.4434
Cd  0.6667  0.3333  0.1101
O  0.0000  0.0000  0.6102
O  0.3333  0.6667  0.2768
O  0.6667  0.3333  0.9435

**E_tot**: -5.786 eV/atom
**Energy relative to the lowest polymorph listed for this composition**: 0.000 eV per atom
**E_form (uncorrected)**: -1.351 eV/atom
**Space group**: No. 160


# NaGaSnAs2

NaGaSnAs2 after structural relaxation (PBE, Alexandria via LeMat-Bulk).

Cell: 5.1219 5.1219 5.0524 Å, 90.00 90.00 90.00°
Element x y z (fractional)
Na  0.0000  0.0000  0.0000
Ga  0.0000  0.0000  0.5000
Sn  0.5000  0.5000  0.5000
As  0.0000  0.5000  0.0000
As  0.5000  0.0000  0.0000

**E_tot**: -2.868 eV/atom
**Space group**: No. 123
**Energy of formation from the pure elements**: 0.66 eV/atom


# Nd6Si2RhBr3

Nd6Si2RhBr3 after structural relaxation (PBE, Alexandria via LeMat-Bulk).

Cell: 9.7662 9.7662 9.0171 Å, 105.19 105.19 24.77°
Element x y z (fractional)
Nd  0.0077  0.0077  0.2220
Nd  0.3245  0.3245  0.4342
Nd  0.3472  0.3472  0.8926
Nd  0.6528  0.6528  0.1074
Nd  0.6755  0.6755  0.5658
Nd  0.9923  0.9923  0.7780
Si  0.1653  0.1653  0.3387
Si  0.8347  0.8347  0.6613
Rh  0.5000  0.5000  0.0000
Br  0.1730  0.1730  0.8361
Br  0.5000  0.5000  0.5000
Br  0.8270  0.8270  0.1639

**E_tot**: -5.355 eV/atom
**E_form (uncorrected)**: -1.036 eV/atom
**Space group**: No. 12


# Ca2SiIr2

Ca2SiIr2 after structural relaxation (PBE, Alexandria via LeMat-Bulk).

Cell: 5.6859 5.6859 7.3394 Å, 98.95 98.95 61.93°
Element x y z (fractional)
Ca  0.0151  0.2769  0.1392
Ca  0.2769  0.0151  0.6392
Ca  0.7230  0.9849  0.3608
Ca  0.9849  0.7230  0.8608
Si  0.4356  0.5644  0.2500
Si  0.5644  0.4356  0.7500
Ir  0.2248  0.5101  0.4899
Ir  0.4899  0.7752  0.0101
Ir  0.5101  0.2248  0.9899
Ir  0.7752  0.4899  0.5101

**E_tot**: -6.161 eV/atom
**Energy relative to the lowest polymorph listed for this composition**: 0.000 eV per atom
**E_form (uncorrected)**: -0.732 eV/atom
**Space group**: No. 15


# SmGdBeZn

SmGdBeZn after structural relaxation (PBE, Alexandria via LeMat-Bulk).

Cell: 7.1001 7.1001 7.1001 Å, 90.00 90.00 90.00°
Element x y z (fractional)
Sm  0.0000  0.0000  0.0000
Sm  0.0000  0.5000  0.5000
Sm  0.5000  0.0000  0.5000
Sm  0.5000  0.5000  0.0000
Gd  0.0000  0.0000  0.5000
Gd  0.0000  0.5000  0.0000
Gd  0.5000  0.0000  0.0000
Gd  0.5000  0.5000  0.5000
Be  0.2500  0.2500  0.2500
Be  0.2500  0.7500  0.7500
Be  0.7500  0.2500  0.7500
Be  0.7500  0.7500  0.2500
Zn  0.2500  0.2500  0.7500
Zn  0.2500  0.7500  0.2500
Zn  0.7500  0.2500  0.2500
Zn  0.7500  0.7500  0.7500

**E_tot**: -6.030 eV/atom
**Space group**: No. 216
**Energy of formation from the pure elements**: -0.08 eV/atom


# Mn5Tc

Mn5Tc after structural relaxation (PBE, Alexandria via LeMat-Bulk).

Cell: 9.3252 2.5623 5.9827 Å, 90.00 105.07 90.00°
Element x y z (fractional)
Mn  0.0000  0.0000  0.0000
Mn  0.0520  0.0000  0.6260
Mn  0.1527  0.5000  0.3475
Mn  0.2075  0.5000  0.9380
Mn  0.3262  0.0000  0.6823
Mn  0.5000  0.5000  0.0000
Mn  0.5520  0.5000  0.6260
Mn  0.6527  0.0000  0.3475
Mn  0.7075  0.0000  0.9380
Mn  0.8262  0.5000  0.6823
Tc  0.3778  0.0000  0.2822
Tc  0.8778  0.5000  0.2822

**E_tot**: -9.284 eV/atom
**Energy relative to the lowest polymorph listed for this composition**: 0.049 eV per atom
**Space group**: No. 8
**Energy of formation from the pure elements**: 0.08 eV/atom


# Pm8Y2Tl

Pm8Y2Tl after structural relaxation (PBE, Alexandria via LeMat-Bulk).

Cell: 9.5223 9.5223 8.0855 Å, 105.02 105.02 30.73°
Element x y z (fractional)
Pm  0.0447  0.0447  0.2252
Pm  0.1360  0.1360  0.6780
Pm  0.3206  0.3206  0.5916
Pm  0.4103  0.4103  0.0579
Pm  0.5897  0.5897  0.9421
Pm  0.6794  0.6794  0.4084
Pm  0.8640  0.8640  0.3220
Pm  0.9553  0.9553  0.7748
Y  0.2241  0.2241  0.1341
Y  0.7759  0.7759  0.8659
Tl  0.5000  0.5000  0.5000

**E_tot**: -4.888 eV/atom
**Energy relative to the lowest polymorph listed for this composition**: 0.000 eV per atom
**Space group**: No. 12
**Energy of formation from the pure elements**: -0.04 eV/atom


# HfBO2

HfBO2 after structural relaxation (PBE, Alexandria via LeMat-Bulk).

Cell: 2.6882 2.6882 18.3144 Å, 90.00 90.00 120.00°
Element x y z (fractional)
Hf  0.0000  0.0000  0.0000
Hf  0.3333  0.6667  0.6667
Hf  0.6667  0.3333  0.3333
B  0.0000  0.0000  0.5000
B  0.3333  0.6667  0.1667
B  0.6667  0.3333  0.8333
O  0.0000  0.0000  0.1194
O  0.0000  0.0000  0.8806
O  0.3333  0.6667  0.5473
O  0.3333  0.6667  0.7861
O  0.6667  0.3333  0.2139
O  0.6667  0.3333  0.4527

**E_tot**: -7.501 eV/atom
**E_form (uncorrected)**: -0.864 eV/atom
**Space group**: No. 166


# Rb3Pm3TcS8

Rb3Pm3TcS8 after structural relaxation (PBE, Alexandria via LeMat-Bulk).

Cell: 9.1278 9.1278 9.1278 Å, 52.54 52.54 52.54°
Element x y z (fractional)
Rb  0.0000  0.5000  0.5000
Rb  0.5000  0.0000  0.5000
Rb  0.5000  0.5000  0.0000
Pm  0.0000  0.0000  0.5000
Pm  0.0000  0.5000  0.0000
Pm  0.5000  0.0000  0.0000
Tc  0.5000  0.5000  0.5000
S  0.2325  0.2325  0.2325
S  0.2623  0.7089  0.7089
S  0.2911  0.2911  0.7377
S  0.2911  0.7377  0.2911
S  0.7089  0.2623  0.7089
S  0.7089  0.7089  0.2623
S  0.7377  0.2911  0.2911
S  0.7675  0.7675  0.7675

**E_tot**: -5.503 eV/atom
**E_form (uncorrected)**: -1.467 eV/atom
**Space group**: No. 166